{
  "formula": "RbAuI3",
  "functional": "PBE-GGA",
  "state": "optimized geometry",
  "cell": [[-2.678, 1.623, 3.465], [4.440, -1.182, 0.837], [7.146, 23.088, -5.290]],
  "species": ["I", "I", "I", "I", "I", "I", "Au", "Au", "Rb", "Rb"],
  "frac_coords": [[0.000, 0.000, 0.250], [0.000, 0.000, 0.750], [0.333, 0.667, 0.100], [0.333, 0.667, 0.400], [0.667, 0.333, 0.600], [0.667, 0.333, 0.900], [0.333, 0.667, 0.750], [0.667, 0.333, 0.250], [0.000, 0.000, 0.000], [0.000, 0.000, 0.500]],
  "crystal_system": "hexagonal",
  "m_tot_mub_per_atom": 0.15,
  "final_energy_ev_per_fu": -10.7,
  "spacegroup": "P6_3/mmc (194)"
}